Below is a relaxed structure of DyCuGe2Pd, with properties calculated at the PBE level.

## Properties
Formation energy, meV per atom: -647.8
Fermi-level density of states, states/eV per cell: 2.42
Calculated total energy, eV/atom: -5.27

Structure (extended XYZ):
```
5
Lattice="-1.3810 -0.7075 -3.8168 1.1409 -3.9461 0.3187 -4.6065 1.1165 3.6835" Properties=species:S:1:pos:R:3 pbc="T T T"
Pd -3.0537 -0.9589 -0.9411
Ge -1.2207 -2.6087 -1.2985
Ge -3.6258 -0.9285 1.4840
Cu -1.7928 -2.5783 1.1266
Dy 0.0000 0.0000 0.0000
```



Below is a relaxed structure of DyCuGePd, with properties calculated at the PBE level.

## Properties
Formation energy, meV per atom: -530.2
Fermi-level density of states, states/eV per cell: 2.04
Calculated total energy, eV/atom: -5.16

Structure (extended XYZ):
```
4
Lattice="4.6256 0.0000 0.0000 2.3128 4.0059 0.0000 2.3128 1.3353 3.7768" Properties=species:S:1:pos:R:3 pbc="T T T"
Pd 0.0000 0.0000 0.0000
Cu 4.6256 2.6706 1.8884
Ge 2.3128 1.3353 0.9442
Dy 6.9385 4.0059 2.8326
```



Below is a relaxed structure of Dy2CuGe4Pd3, with properties calculated at the PBE level.

## Properties
Formation energy, meV per atom: -696.1
Fermi-level density of states, states/eV per cell: 4.59
Calculated total energy, eV/atom: -5.43

Structure (extended XYZ):
```
10
Lattice="4.1293 0.0000 0.0000 0.0000 4.1293 0.0000 0.0000 0.0000 10.7839" Properties=species:S:1:pos:R:3 pbc="T T T"
Ge 0.0000 0.0000 0.0000
Ge 0.0000 2.0646 3.9588
Ge 2.0646 2.0646 0.0000
Ge 2.0646 0.0000 6.8251
Pd 0.0000 0.0000 5.3919
Pd 0.0000 2.0646 1.5143
Pd 2.0646 0.0000 9.2695
Cu 2.0646 2.0646 5.3919
Dy 2.0646 0.0000 2.8444
Dy 0.0000 2.0646 7.9394
```



Below is a relaxed structure of PmDyCu2Ge2, with properties calculated at the PBE level.

## Properties
Formation energy, meV per atom: -683.2
Fermi-level density of states, states/eV per cell: 1.23
Calculated total energy, eV/atom: -5.15

Structure (extended XYZ):
```
6
Lattice="4.2674 0.0000 0.0000 -2.1337 3.6957 0.0000 0.0000 0.0000 7.5556" Properties=species:S:1:pos:R:3 pbc="T T T"
Ge 0.0000 2.4638 1.9452
Ge 2.1337 1.2319 5.6104
Pm 0.0000 0.0000 0.0000
Cu 0.0000 2.4638 5.5629
Cu 2.1337 1.2319 1.9927
Dy 0.0000 0.0000 3.7778
```



Below is a relaxed structure of PmDyCuGe, with properties calculated at the PBE level.

## Properties
Formation energy, meV per atom: -481.0
Fermi-level density of states, states/eV per cell: 3.35
Calculated total energy, eV/atom: -5.00

Structure (extended XYZ):
```
4
Lattice="5.0401 0.0000 0.0000 2.5201 4.3649 0.0000 2.5201 1.4550 4.1152" Properties=species:S:1:pos:R:3 pbc="T T T"
Cu 5.0401 2.9099 2.0576
Pm 7.5602 4.3649 3.0864
Dy 2.5201 1.4550 1.0288
Ge 0.0000 0.0000 0.0000
```



Below is a relaxed structure of Pr2DyCu2Ge2, with properties calculated at the PBE level.

## Properties
Formation energy, meV per atom: -503.0
Fermi-level density of states, states/eV per cell: 5.58
Calculated total energy, eV/atom: -5.02

Structure (extended XYZ):
```
7
Lattice="4.2638 0.0000 0.0000 2.1319 3.6926 0.0000 2.1319 1.2309 10.4386" Properties=species:S:1:pos:R:3 pbc="T T T"
Cu 4.2638 2.4617 1.7101
Cu 4.2638 2.4617 8.7285
Ge 2.1319 1.2309 1.8440
Ge 6.3958 3.6926 8.5946
Pr 6.3958 3.6926 3.7580
Pr 2.1319 1.2309 6.6806
Dy 0.0000 0.0000 0.0000
```



Question: Among the records above, which one has the lowest calculated total energy?
Answer: Dy2CuGe4Pd3